[1]
Computed, not measured: a relaxed K2CoSe crystal at the GGA-PBE level of DFT.

Values from the calculation:
E_form (uncorrected)	259	meV/atom

Unit cell a=6.008 b=6.008 c=3.230 alpha=90.00 beta=90.00 gamma=94.33
Element x y z (fractional)
Se 0.500 0.000 0.500
Co 0.000 0.500 0.500
K 0.500 0.500 0.000
K 0.000 0.000 0.000

[2]
Computed, not measured: a relaxed Sc4Cd crystal at the GGA-PBE level of DFT.

Values from the calculation:
excess energy over the best structure of this formula in the dataset	49	meV per atom
calculated formation energy	-0.04	eV per atom

Unit cell a=4.871 b=6.256 c=8.599 alpha=111.33 beta=106.45 gamma=90.00
Element x y z (fractional)
Sc 0.895 0.645 0.790
Cd 0.889 0.139 0.779
Sc 0.105 0.355 0.210
Sc 0.304 0.802 0.607
Sc 0.500 0.500 0.000
Sc 0.500 0.000 0.000
Cd 0.111 0.861 0.221
Sc 0.696 0.695 0.393
Sc 0.696 0.198 0.393
Sc 0.304 0.305 0.607

[3]
Computed, not measured: a relaxed CrGaH crystal at the GGA-PBE level of DFT.

Values from the calculation:
excess energy over the best structure of this formula in the dataset	0	meV per atom

Unit cell a=2.927 b=2.927 c=4.121 alpha=90.00 beta=90.00 gamma=120.00
Element x y z (fractional)
H 0.333 0.667 0.551
Cr 0.667 0.333 0.469
Ga 0.000 0.000 0.981

[4]
Computed, not measured: a relaxed Ca2InCu crystal at the GGA-PBE level of DFT.

Values from the calculation:
calculated formation energy	-0.10	eV per atom

Unit cell a=8.990 b=8.990 c=8.990 alpha=25.29 beta=25.29 gamma=25.29
Element x y z (fractional)
Ca 0.988 0.988 0.988
Cu 0.250 0.250 0.250
Ca 0.512 0.512 0.512
In 0.750 0.750 0.750

[5]
Computed, not measured: a relaxed Pm2Nd6Sm crystal at the GGA-PBE level of DFT.

Values from the calculation:
excess energy over the best structure of this formula in the dataset	547	meV per atom
calculated formation energy	0.60	eV per atom

Unit cell a=8.303 b=8.303 c=10.620 alpha=90.00 beta=90.00 gamma=90.00
Element x y z (fractional)
Nd 0.762 0.238 0.500
Pm 0.500 0.500 0.166
Nd 0.238 0.762 0.833
Nd 0.762 0.238 0.833
Nd 0.738 0.738 0.667
Nd 0.738 0.738 0.333
Nd 0.738 0.738 0.000
Pm 0.000 0.000 0.666
Pm 0.500 0.500 0.834
Nd 0.262 0.262 0.000
Nd 0.262 0.262 0.333
Nd 0.238 0.762 0.500
Pm 0.000 0.000 0.334
Nd 0.238 0.762 0.167
Nd 0.762 0.238 0.167
Sm 0.000 0.000 0.000
Sm 0.500 0.500 0.500
Nd 0.262 0.262 0.667

[6]
Computed, not measured: a relaxed PmSc2Cd4 crystal at the GGA-PBE level of DFT.

Values from the calculation:
calculated formation energy	-0.09	eV per atom

Unit cell a=5.088 b=5.088 c=7.112 alpha=90.00 beta=90.00 gamma=90.00
Element x y z (fractional)
Cd 0.000 0.500 0.279
Cd 0.500 0.000 0.279
Sc 0.500 0.500 0.500
Sc 0.000 0.000 0.000
Cd 0.000 0.500 0.721
Pm 0.500 0.500 0.000
Cd 0.500 0.000 0.721

no.,total magnetic moment (μB per formula unit)
1,2.14
2,1.02
3,1.62
4,0.00
5,0.00
6,0.49